# LaAl4Zn2Pd

Crystalline LaAl4Zn2Pd at its relaxed geometry (PBE, the Alexandria database).

```
LaAl4Zn2Pd
1.0
2.1740 1.2552 9.2008
-2.1740 1.2552 9.2008
0.0000 -2.5103 9.2008
La Al Zn Pd
1 4 2 1
Cartesian
0.0000 0.0000 0.0000
0.0000 0.0000 3.6636
0.0000 0.0000 11.2352
0.0000 0.0000 16.3673
0.0000 0.0000 23.9389
0.0000 0.0000 7.0082
0.0000 0.0000 20.5943
0.0000 0.0000 13.8012
```

Formation enthalpy at 0 K ... -0.390 eV per atom
V ... 18.8 Å³/atom
Symmetry ... No. 166
E ... -30.76 eV/cell

=====

# Mn4InSb3

Crystalline Mn4InSb3 at its relaxed geometry (PBE, the Alexandria database).

```
Mn4InSb3
1.0
4.0754 0.0000 0.0000
-2.0377 3.5294 0.0000
0.0000 0.0000 11.2376
Mn In Sb
4 1 3
Cartesian
0.0000 0.0000 1.3892
0.0000 0.0000 4.1798
0.0000 0.0000 7.0578
0.0000 0.0000 9.8484
2.0377 1.1765 5.6188
0.0000 2.3530 2.8360
0.0000 2.3530 8.4016
2.0377 1.1765 0.0000
```

Raw formation energy ... 0.0762 eV/atom
V ... 20.2 Å³/atom
Symmetry ... No. 187
E ... -51.17 eV/cell

=====

# CaLa7Tb3

Crystalline CaLa7Tb3 at its relaxed geometry (PBE, the Alexandria database).

```
CaLa7Tb3
1.0
5.9464 -5.1844 0.0000
5.9464 5.1844 0.0000
-0.5639 0.0000 6.6561
Ca La Tb
1 7 3
Cartesian
0.0000 0.0000 0.0000
-0.2820 0.0000 3.3281
2.5703 1.8598 5.0401
3.0103 0.0000 1.9767
2.5703 -1.8598 5.0401
8.7585 1.8598 1.6161
8.3185 0.0000 4.6794
8.7585 -1.8598 1.6161
5.6644 1.7154 3.3281
5.9464 0.0000 0.0000
5.6644 -1.7154 3.3281
```

Formation enthalpy at 0 K ... 0.219 eV per atom
V ... 37.3 Å³/atom
Symmetry ... No. 12
E ... -47.97 eV/cell